No. 1
First-principles (PBE) data for a relaxed TaTeHI2 crystal, as listed in Alexandria.

Summary:
Volume = 114.5 Å³ per cell
Polymorph energy (0 for the lowest one) = 2.78 eV/f.u.
E_tot = -3.249 eV per atom

abc: 5.510 5.510 3.771
angles: 90.00 90.00 90.00
Element x y z (fractional)
Ta  0.000  0.000  0.000
Te  0.500  0.500  0.000
H  0.500  0.500  0.500
I  0.000  0.500  0.500
I  0.500  0.000  0.500

***

No. 2
First-principles (PBE) data for a relaxed Ac2Pr3In4 crystal, as listed in Alexandria.

Summary:
Volume = 617.9 Å³ per cell
Polymorph energy (0 for the lowest one) = 0.00 eV/f.u.
E_tot = -4.146 eV per atom
Energy of formation from the pure elements = -9.8 kcal/mol of atoms

abc: 8.795 8.832 8.320
angles: 90.00 107.07 90.00
Element x y z (fractional)
Ac  0.186  0.179  0.065
Ac  0.186  0.321  0.565
Ac  0.814  0.679  0.435
Ac  0.814  0.821  0.935
Pr  0.242  0.671  0.250
Pr  0.242  0.829  0.750
Pr  0.500  0.000  0.500
Pr  0.500  0.500  0.000
Pr  0.758  0.171  0.250
Pr  0.758  0.329  0.750
In  0.081  0.537  0.863
In  0.081  0.963  0.363
In  0.495  0.124  0.875
In  0.495  0.376  0.375
In  0.505  0.624  0.625
In  0.505  0.876  0.125
In  0.919  0.037  0.637
In  0.919  0.463  0.137

***

No. 3
First-principles (PBE) data for a relaxed BSbBr2 crystal, as listed in Alexandria.

Summary:
E_form (uncorrected) = 108.16 kJ/mol of atoms
Volume = 370.2 Å³ per cell
Polymorph energy (0 for the lowest one) = 2.12 eV/f.u.
E_tot = -2.415 eV per atom

abc: 7.181 7.181 7.181
angles: 90.00 90.00 90.00
Element x y z (fractional)
B  0.000  0.000  0.000
B  0.000  0.500  0.500
B  0.500  0.000  0.500
B  0.500  0.500  0.000
Sb  0.000  0.000  0.500
Sb  0.000  0.500  0.000
Sb  0.500  0.000  0.000
Sb  0.500  0.500  0.500
Br  0.250  0.250  0.250
Br  0.250  0.250  0.750
Br  0.250  0.750  0.250
Br  0.250  0.750  0.750
Br  0.750  0.250  0.250
Br  0.750  0.250  0.750
Br  0.750  0.750  0.250
Br  0.750  0.750  0.750

***

The lowest E_tot belongs to which entry?
Ac2Pr3In4